[1]
VASP calculation (PBE-GGA) on K2ZrPbAu after structural relaxation.

Properties
Total moment in μB per formula unit: 1.464
ΔH_f (0 K) in eV/atom: 0.865
Space group: P4/mmm

Unit cell a=6.548 b=6.548 c=5.129 alpha=90.00 beta=90.00 gamma=90.00
Element x y z (fractional)
1 K 0.000 0.500 0.000
2 K 0.500 0.000 0.000
3 Zr 0.000 0.000 0.000
4 Pb 0.500 0.500 0.500
5 Au 0.000 0.000 0.500


[2]
VASP calculation (PBE-GGA) on KPd4Au after structural relaxation.

Properties
Total moment in μB per formula unit: 0.000
ΔH_f (0 K) in eV/atom: 0.115
Space group: F-43m

Unit cell a=5.416 b=5.416 c=5.416 alpha=60.00 beta=60.00 gamma=60.00
Element x y z (fractional)
1 K 0.000 0.000 0.000
2 Pd 0.127 0.624 0.624
3 Pd 0.624 0.127 0.624
4 Pd 0.624 0.624 0.127
5 Pd 0.624 0.624 0.624
6 Au 0.250 0.250 0.250


[3]
VASP calculation (PBE-GGA) on KPdAu2 after structural relaxation.

Properties
Total moment in μB per formula unit: 0.000
ΔH_f (0 K) in eV/atom: 0.275
Space group: Imma
E above lowest polymorph in kJ/mol of atoms: 25.5

Unit cell a=7.629 b=7.629 c=7.629 alpha=100.88 beta=100.74 gamma=128.68
Element x y z (fractional)
1 K 0.375 0.125 0.250
2 K 0.625 0.875 0.750
3 Pd 0.126 0.376 0.750
4 Pd 0.874 0.624 0.250
5 Au 0.000 0.000 0.500
6 Au 0.000 0.500 0.000
7 Au 0.000 0.500 0.500
8 Au 0.500 0.500 0.000


[4]
VASP calculation (PBE-GGA) on KPd3Au after structural relaxation.

Properties
Total moment in μB per formula unit: 0.000
ΔH_f (0 K) in eV/atom: 1.394
Space group: Pm-3m
E above lowest polymorph in kJ/mol of atoms: 84.6

Unit cell a=4.906 b=4.906 c=4.906 alpha=90.00 beta=90.00 gamma=90.00
Element x y z (fractional)
1 K 0.000 0.000 0.000
2 Pd 0.000 0.000 0.500
3 Pd 0.000 0.500 0.000
4 Pd 0.500 0.000 0.000
5 Au 0.500 0.500 0.500


[5]
VASP calculation (PBE-GGA) on K2PdAu after structural relaxation.

Properties
Total moment in μB per formula unit: 0.000
ΔH_f (0 K) in eV/atom: 0.112
Space group: Fm-3m
E above lowest polymorph in kJ/mol of atoms: 24.4

Unit cell a=5.488 b=5.488 c=5.488 alpha=60.00 beta=60.00 gamma=60.00
Element x y z (fractional)
1 K 0.250 0.250 0.250
2 K 0.750 0.750 0.750
3 Pd 0.000 0.000 0.000
4 Au 0.500 0.500 0.500


[6]
VASP calculation (PBE-GGA) on KPdAu after structural relaxation.

Properties
Total moment in μB per formula unit: 0.000
ΔH_f (0 K) in eV/atom: -0.220
Space group: P2_1/m
E above lowest polymorph in kJ/mol of atoms: 2.7

Unit cell a=5.504 b=4.777 c=6.146 alpha=90.00 beta=111.14 gamma=90.00
Element x y z (fractional)
1 K 0.249 0.250 0.488
2 K 0.751 0.750 0.512
3 Pd 0.109 0.250 0.963
4 Pd 0.891 0.750 0.037
5 Au 0.359 0.750 0.969
6 Au 0.641 0.250 0.031